[1]
Cs2NaCd: relaxed, PBE-GGA.

Cell: 12.899 8.167 5.311 Å, 90.00 114.20 90.00°
Space group C2 (No. 5)
Symmetry-distinct sites (fractional):
Cs 0.197 0.000 0.197 x4
Na 0.000 0.508 0.000 x2
Cd 0.000 0.750 0.500 x2

=====

[2]
SrZrHg: relaxed, PBE-GGA.

Cell: 3.591 17.655 5.337 Å, 90.00 90.00 90.00°
Space group Cmcm (No. 63)
Symmetry-distinct sites (fractional):
Sr 0.000 0.077 0.250 x4
Zr 0.000 0.236 0.750 x4
Hg 0.000 0.399 0.250 x4

=====

[3]
InPSe: relaxed, PBE-GGA.

Cell: 4.246 6.110 7.528 Å, 70.18 78.16 71.03°
Space group P-1 (No. 2)
Symmetry-distinct sites (fractional):
In 0.021 0.224 0.198 x2
P 0.426 0.008 0.644 x2
Se 0.021 0.320 0.828 x2

## Properties
Formation energy from raw total energies (eV/atom): -0.104

=====

How do the records compare in E_tot? In the order shown, they have -0.98; -3.61; -3.98 eV/atom.